1) Compound: AcGe2Bi
Source: Alexandria
Functional: PBE-GGA
Structure: relaxed

Geometry as POSCAR:
```
AcGe2Bi
1.0
2.529 1.460 5.216
-2.529 1.460 5.216
0.000 -2.921 5.216
Ac Ge Bi
1 2 1
Cartesian
0.000 0.000 0.000
0.000 0.000 3.309
0.000 0.000 12.340
0.000 0.000 7.824
```

Output
- density of states at the Fermi level (states/eV/f.u.) = 1.69
- total magnetization (μB/atom) = 0.000
- SG = R-3m, No. 166

---

2) Compound: AcGe2Bi
Source: Alexandria
Functional: PBE-GGA
Structure: relaxed

Geometry as POSCAR:
```
AcGe2Bi
1.0
4.909 0.000 0.000
0.000 4.909 0.000
0.000 0.000 4.497
Ac Ge Bi
1 2 1
Cartesian
0.000 0.000 0.000
0.000 2.454 2.248
2.454 0.000 2.248
2.454 2.454 0.000
```

Output
- density of states at the Fermi level (states/eV/f.u.) = 2.31
- total magnetization (μB/atom) = 0.000
- SG = P4/mmm, No. 123

---

3) Compound: AcGe2Bi
Source: Alexandria
Functional: PBE-GGA
Structure: relaxed

Geometry as POSCAR:
```
AcGe2Bi
1.0
4.048 0.000 0.000
0.000 4.048 0.000
0.000 0.000 6.713
Ac Ge Bi
1 2 1
Cartesian
0.000 0.000 0.000
2.024 2.024 2.002
2.024 2.024 4.711
0.000 0.000 3.356
```

Output
- density of states at the Fermi level (states/eV/f.u.) = 2.06
- total magnetization (μB/atom) = 0.000
- SG = P4/mmm, No. 123

---

Most stable to least stable, the ends of the list are 2) and 3).

---

1) Compound: AcGeBi
Source: Alexandria
Functional: PBE-GGA
Structure: relaxed

Geometry as POSCAR:
```
AcGeBi
1.0
5.003 0.000 0.000
-2.502 4.333 0.000
0.000 0.000 4.421
Ac Ge Bi
1 1 1
Cartesian
0.000 0.000 0.000
0.000 2.889 2.488
2.502 1.444 2.109
```

Output
- density of states at the Fermi level (states/eV/f.u.) = 1.40
- total magnetization (μB/atom) = 0.000
- SG = P3m1, No. 156

---

2) Compound: AcGeBi
Source: Alexandria
Functional: PBE-GGA
Structure: relaxed

Geometry as POSCAR:
```
AcGeBi
1.0
4.706 0.000 0.000
0.000 4.486 0.000
-1.406 0.000 9.181
Ac Ge Bi
2 2 2
Cartesian
-0.027 1.122 1.990
3.327 3.365 7.190
0.540 1.122 8.642
2.759 3.365 0.539
1.069 1.122 5.820
2.230 3.365 3.360
```

Output
- density of states at the Fermi level (states/eV/f.u.) = 0.59
- total magnetization (μB/atom) = 0.000
- SG = P2_1/m, No. 11

---

3) Compound: AcGeBi
Source: Alexandria
Functional: PBE-GGA
Structure: relaxed

Geometry as POSCAR:
```
AcGeBi
1.0
0.000 3.710 3.710
3.710 0.000 3.710
3.710 3.710 0.000
Ac Ge Bi
1 1 1
Cartesian
0.000 0.000 0.000
5.564 5.564 5.564
3.710 3.710 3.710
```

Output
- density of states at the Fermi level (states/eV/f.u.) = 2.15
- total magnetization (μB/atom) = 0.000
- SG = F-43m, No. 216

---

4) Compound: AcGeBi
Source: Alexandria
Functional: PBE-GGA
Structure: relaxed

Geometry as POSCAR:
```
AcGeBi
1.0
2.351 -9.267 0.000
2.351 9.267 0.000
0.000 0.000 4.307
Ac Ge Bi
2 2 2
Cartesian
2.351 7.452 3.230
2.351 -7.452 1.077
2.351 0.794 3.230
2.351 -0.794 1.077
2.351 4.584 1.077
2.351 -4.584 3.230
```

Output
- density of states at the Fermi level (states/eV/f.u.) = 0.86
- total magnetization (μB/atom) = 0.000
- SG = Cmcm, No. 63

---

Most stable to least stable, the ends of the list are 4) and 3).

---

1) Compound: Ac4Ge2Bi
Source: Alexandria
Functional: PBE-GGA
Structure: relaxed

Geometry as POSCAR:
```
Ac4Ge2Bi
1.0
-5.175 5.175 5.167
5.175 -5.175 5.167
5.175 5.175 -5.167
Ac Ge Bi
8 4 2
Cartesian
7.048 -0.003 0.861
3.302 0.003 0.861
5.178 3.302 -1.722
5.172 -1.873 4.306
-0.003 1.873 3.445
5.178 1.873 4.306
3.302 5.172 1.722
1.873 0.003 6.890
2.588 5.168 -1.292
5.182 2.588 1.292
2.588 0.007 3.875
-0.007 2.588 6.459
0.000 0.000 0.000
0.000 5.175 2.584
```

Output
- density of states at the Fermi level (states/eV/f.u.) = 4.10
- total magnetization (μB/atom) = 0.092
- SG = I-42d, No. 122

---

2) Compound: Ac4Ge2Bi
Source: Alexandria
Functional: PBE-GGA
Structure: relaxed

Geometry as POSCAR:
```
Ac4Ge2Bi
1.0
2.334 -7.566 0.000
2.334 7.566 0.000
0.000 0.000 15.311
Ac Ge Bi
8 4 2
Cartesian
0.000 0.000 0.000
0.000 0.000 7.656
2.334 3.506 9.436
2.334 3.506 13.531
2.334 0.801 3.828
2.334 -0.801 11.483
2.334 -3.506 1.780
2.334 -3.506 5.875
2.334 2.026 0.953
2.334 2.026 6.703
2.334 -2.026 8.608
2.334 -2.026 14.358
2.334 5.876 3.828
2.334 -5.876 11.483
```

Output
- density of states at the Fermi level (states/eV/f.u.) = 4.35
- total magnetization (μB/atom) = 0.111
- SG = Cmcm, No. 63

---

Most stable to least stable, the ends of the list are 2) and 1).

---

1) Compound: Ac3GeBi
Source: Alexandria
Functional: PBE-GGA
Structure: relaxed

Geometry as POSCAR:
```
Ac3GeBi
1.0
6.799 -3.922 0.000
6.799 3.922 0.000
-4.531 0.000 8.151
Ac Ge Bi
6 2 2
Cartesian
0.000 0.000 0.000
5.656 1.905 3.770
10.124 1.998 0.001
5.656 -1.905 3.770
8.962 0.000 3.777
10.124 -1.998 0.001
6.756 0.000 6.031
11.288 0.000 1.896
2.223 0.000 3.047
6.761 0.000 0.815
```

Output
- density of states at the Fermi level (states/eV/f.u.) = 3.95
- total magnetization (μB/atom) = 0.000
- SG = Cm, No. 8

---

2) Compound: Ac3GeBi
Source: Alexandria
Functional: PBE-GGA
Structure: relaxed

Geometry as POSCAR:
```
Ac3GeBi
1.0
9.160 0.000 0.000
0.000 4.745 0.000
0.000 0.000 17.461
Ac Ge Bi
12 4 4
Cartesian
0.099 1.186 1.823
1.365 1.186 9.468
1.477 3.559 5.034
3.103 1.186 13.765
3.215 3.559 0.738
4.481 3.559 10.553
4.679 1.186 6.907
5.945 1.186 16.723
6.057 3.559 3.696
7.683 1.186 12.426
7.795 3.559 7.993
9.061 3.559 15.637
1.892 1.186 16.595
2.688 3.559 7.865
6.472 1.186 9.596
7.268 3.559 0.866
1.138 3.559 12.173
3.442 1.186 3.443
5.718 3.559 14.018
8.022 1.186 5.287
```

Output
- density of states at the Fermi level (states/eV/f.u.) = 4.99
- total magnetization (μB/atom) = 0.000
- SG = Pnma, No. 62

---

Most stable to least stable, the ends of the list are 2) and 1).

---

1) Compound: Ac2BiH
Source: Alexandria
Functional: PBE-GGA
Structure: relaxed

Geometry as POSCAR:
```
Ac2BiH
1.0
2.246 1.297 7.301
-2.246 1.297 7.301
0.000 -2.593 7.301
Ac Bi H
2 1 1
Cartesian
0.000 0.000 5.197
0.000 0.000 16.706
0.000 0.000 0.000
0.000 0.000 10.952
```

Output
- density of states at the Fermi level (states/eV/f.u.) = 1.97
- total magnetization (μB/atom) = 0.000
- SG = R-3m, No. 166

---

2) Compound: Ac2BiH
Source: Alexandria
Functional: PBE-GGA
Structure: relaxed

Geometry as POSCAR:
```
Ac2BiH
1.0
0.000 3.962 3.962
3.962 0.000 3.962
3.962 3.962 0.000
Ac Bi H
2 1 1
Cartesian
1.981 1.981 1.981
5.944 5.944 5.944
0.000 0.000 0.000
3.962 3.962 3.962
```

Output
- density of states at the Fermi level (states/eV/f.u.) = 3.20
- total magnetization (μB/atom) = 0.000
- SG = Fm-3m, No. 225

---

Most stable to least stable, the ends of the list are 1) and 2).

---

1) Compound: Ac2BiH
Source: Alexandria
Functional: PBE-GGA
Structure: relaxed

Geometry as POSCAR:
```
Ac2BiH
1.0
5.445 0.000 0.000
0.000 5.445 0.000
0.000 0.000 4.276
Ac Bi H
2 1 1
Cartesian
0.000 2.722 0.000
2.722 0.000 0.000
0.000 0.000 2.138
2.722 2.722 2.138
```

Output
- density of states at the Fermi level (states/eV/f.u.) = 2.69
- total magnetization (μB/atom) = 0.000
- SG = P4/mmm, No. 123

---

2) Compound: Ac2BiH
Source: Alexandria
Functional: PBE-GGA
Structure: relaxed

Geometry as POSCAR:
```
Ac2BiH
1.0
8.980 0.000 0.000
0.000 6.073 0.000
-2.238 0.000 8.702
Ac Bi H
8 4 4
Cartesian
-0.792 1.467 3.265
-1.911 1.570 7.616
2.195 4.501 4.050
1.076 4.608 8.401
5.666 1.464 0.300
4.547 1.572 4.651
8.653 4.503 1.086
7.534 4.606 5.437
1.263 1.477 6.121
2.382 1.559 1.770
4.360 4.513 6.932
5.479 4.596 2.581
-0.064 3.800 3.488
-1.183 5.309 7.839
7.925 0.764 0.863
6.806 2.272 5.214
```

Output
- density of states at the Fermi level (states/eV/f.u.) = 2.80
- total magnetization (μB/atom) = 0.000
- SG = P2_1/c, No. 14

---

Most stable to least stable, the ends of the list are 2) and 1).

---

1) Compound: AcBiHPd
Source: Alexandria
Functional: PBE-GGA
Structure: relaxed

Geometry as POSCAR:
```
AcBiHPd
1.0
0.000 3.536 3.536
3.536 0.000 3.536
3.536 3.536 0.000
Ac Bi H Pd
1 1 1 1
Cartesian
0.000 0.000 0.000
3.536 3.536 3.536
1.768 1.768 1.768
5.305 5.305 5.305
```

Output
- density of states at the Fermi level (states/eV/f.u.) = 2.21
- total magnetization (μB/atom) = 0.000
- SG = F-43m, No. 216

---

2) Compound: AcBiHPd
Source: Alexandria
Functional: PBE-GGA
Structure: relaxed

Geometry as POSCAR:
```
AcBiHPd
1.0
4.779 0.000 0.000
-2.389 4.138 0.000
0.000 0.000 4.490
Ac Bi H Pd
1 1 1 1
Cartesian
0.000 0.000 0.000
0.000 2.759 2.149
2.389 1.379 4.352
2.389 1.379 2.629
```

Output
- density of states at the Fermi level (states/eV/f.u.) = 1.64
- total magnetization (μB/atom) = 0.000
- SG = P3m1, No. 156

---

Most stable to least stable, the ends of the list are 2) and 1).

---

1) Compound: AcHfBi3
Source: Alexandria
Functional: PBE-GGA
Structure: relaxed

Geometry as POSCAR:
```
AcHfBi3
1.0
5.657 0.000 0.000
0.000 5.657 0.000
0.000 0.000 5.657
Ac Hf Bi
1 1 3
Cartesian
0.000 0.000 0.000
2.829 2.829 2.829
0.000 2.829 2.829
2.829 0.000 2.829
2.829 2.829 0.000
```

Output
- density of states at the Fermi level (states/eV/f.u.) = 2.80
- total magnetization (μB/atom) = 0.000
- SG = Pm-3m, No. 221

---

2) Compound: AcHfBi3
Source: Alexandria
Functional: PBE-GGA
Structure: relaxed

Geometry as POSCAR:
```
AcHfBi3
1.0
14.393 0.000 0.000
0.000 6.807 0.000
0.000 0.000 6.618
Ac Hf Bi
4 4 12
Cartesian
2.677 0.061 1.655
2.677 3.343 4.964
11.716 3.464 1.655
11.716 6.746 4.964
5.936 5.105 0.000
5.936 5.105 3.309
8.457 1.702 0.000
8.457 1.702 3.309
0.037 5.105 0.000
0.037 5.105 3.309
3.931 3.513 1.655
3.931 6.698 4.964
6.130 0.765 1.655
6.130 2.639 4.964
8.264 4.168 1.655
8.264 6.042 4.964
10.462 0.109 1.655
10.462 3.294 4.964
14.356 1.702 0.000
14.356 1.702 3.309
```

Output
- density of states at the Fermi level (states/eV/f.u.) = 2.30
- total magnetization (μB/atom) = 0.000
- SG = Pbcm, No. 57

---

Most stable to least stable, the ends of the list are 2) and 1).

---

1) Compound: Ac2HfBi
Source: Alexandria
Functional: PBE-GGA
Structure: relaxed

Geometry as POSCAR:
```
Ac2HfBi
1.0
1.778 1.027 12.635
-1.778 1.027 12.635
0.000 -2.053 12.635
Ac Hf Bi
2 1 1
Cartesian
0.000 0.000 3.279
0.000 0.000 34.624
0.000 0.000 0.000
0.000 0.000 18.952
```

Output
- density of states at the Fermi level (states/eV/f.u.) = 5.88
- total magnetization (μB/atom) = 0.195
- SG = R-3m, No. 166

---

2) Compound: Ac2HfBi
Source: Alexandria
Functional: PBE-GGA
Structure: relaxed

Geometry as POSCAR:
```
Ac2HfBi
1.0
6.072 0.000 0.000
0.000 6.072 0.000
0.000 0.000 3.712
Ac Hf Bi
2 1 1
Cartesian
0.000 3.036 0.000
3.036 0.000 0.000
0.000 0.000 1.856
3.036 3.036 1.856
```

Output
- density of states at the Fermi level (states/eV/f.u.) = 4.82
- total magnetization (μB/atom) = 0.000
- SG = P4/mmm, No. 123

---

Most stable to least stable, the ends of the list are 2) and 1).

---

1) Compound: AcHgBi
Source: Alexandria
Functional: PBE-GGA
Structure: relaxed

Geometry as POSCAR:
```
AcHgBi
1.0
-2.270 2.270 4.990
2.270 -2.270 4.990
2.270 2.270 -4.990
Ac Hg Bi
1 1 1
Cartesian
0.000 0.000 0.000
0.000 0.000 6.716
0.000 0.000 3.453
```

Output
- density of states at the Fermi level (states/eV/f.u.) = 0.71
- total magnetization (μB/atom) = 0.000
- SG = I4mm, No. 107

---

2) Compound: AcHgBi
Source: Alexandria
Functional: PBE-GGA
Structure: relaxed

Geometry as POSCAR:
```
AcHgBi
1.0
6.941 0.000 0.000
0.000 6.813 0.000
-3.424 0.000 8.353
Ac Hg Bi
4 4 4
Cartesian
0.231 0.925 3.223
-1.481 2.482 7.399
4.999 4.331 0.954
3.287 5.888 5.131
-0.828 4.592 4.065
-2.540 5.627 8.242
6.057 1.186 0.111
4.345 2.220 4.288
1.713 4.105 2.401
0.001 6.114 6.578
3.516 0.699 1.775
1.804 2.707 5.952
```

Output
- density of states at the Fermi level (states/eV/f.u.) = 1.57
- total magnetization (μB/atom) = 0.000
- SG = P2_1/c, No. 14

---

Most stable to least stable, the ends of the list are 2) and 1).

---

1) Compound: AcHgBi
Source: Alexandria
Functional: PBE-GGA
Structure: relaxed

Geometry as POSCAR:
```
AcHgBi
1.0
5.004 0.000 0.000
-2.502 4.333 0.000
0.000 0.000 4.741
Ac Hg Bi
1 1 1
Cartesian
0.000 0.000 0.000
2.502 1.444 3.260
0.000 2.889 1.999
```

Output
- total magnetization (μB/atom) = 0.000
- SG = P3m1, No. 156

---

2) Compound: AcHgBi
Source: Alexandria
Functional: PBE-GGA
Structure: relaxed

Geometry as POSCAR:
```
AcHgBi
1.0
0.000 3.922 3.922
3.922 0.000 3.922
3.922 3.922 0.000
Ac Hg Bi
1 1 1
Cartesian
0.000 0.000 0.000
5.883 5.883 5.883
1.961 1.961 1.961
```

Output
- total magnetization (μB/atom) = 0.000
- SG = F-43m, No. 216

---

Most stable to least stable, the ends of the list are 1) and 2).